No. 1
# CrN2

A geometry-optimized CrN2 structure (GGA-PBE, the Alexandria database).

Calculated values
E_form (uncorrected)   -0.04 eV/atom
Calculated density   5.09 g cm⁻³

a = 2.671 Å, b = 3.888 Å, c = 5.032 Å
α = 90.00°, β = 90.00°, γ = 90.00°
Fractional positions:
Cr 0.000 0.500 0.007
Cr 0.500 0.000 0.507
N 0.000 0.674 0.634
N 0.000 0.326 0.634
N 0.500 0.174 0.134
N 0.500 0.826 0.134

=====

No. 2
# CaAcBiO4

A geometry-optimized CaAcBiO4 structure (GGA-PBE, the Alexandria database).

Calculated values
E_form (uncorrected)   -2.38 eV/atom
Calculated density   6.71 g cm⁻³

a = 7.066 Å, b = 7.222 Å, c = 7.457 Å
α = 121.08°, β = 90.00°, γ = 119.29°
Fractional positions:
Ca 0.879 0.759 0.129
Ca 0.121 0.241 0.871
Ac 0.500 0.000 0.500
Ac 0.500 0.000 0.000
Bi 0.500 0.500 0.500
Bi 0.000 0.500 0.500
O 0.747 0.495 0.728
O 0.275 0.023 0.261
O 0.748 0.023 0.261
O 0.747 0.495 0.267
O 0.253 0.505 0.733
O 0.725 0.977 0.739
O 0.252 0.977 0.739
O 0.253 0.505 0.272

=====

No. 3
# Sn2AuN

A geometry-optimized Sn2AuN structure (GGA-PBE, the Alexandria database).

Calculated values
E_form (uncorrected)   0.19 eV/atom
Offset from the most stable computed form   0.0 meV per atom
Calculated density   8.30 g cm⁻³

a = 5.954 Å, b = 5.954 Å, c = 6.584 Å
α = 63.12°, β = 63.12°, γ = 90.00°
Fractional positions:
Au 0.000 0.000 0.000
Au 0.750 0.250 0.500
Sn 0.562 0.125 0.250
Sn 0.188 0.625 0.250
Sn 0.375 0.438 0.750
Sn 0.875 0.812 0.750
N 0.500 0.500 0.000
N 0.250 0.750 0.500

=====

No. 4
# PrPaRhO6

A geometry-optimized PrPaRhO6 structure (GGA-PBE, the Alexandria database).

Calculated values
E_form (uncorrected)   -2.43 eV/atom
Calculated density   7.37 g cm⁻³

a = 4.935 Å, b = 5.485 Å, c = 5.485 Å
α = 120.00°, β = 90.00°, γ = 90.00°
Fractional positions:
Pr 0.500 0.667 0.333
Pa 0.000 0.333 0.667
Rh 0.500 0.000 0.000
O 0.742 0.681 0.714
O 0.742 0.286 0.967
O 0.742 0.033 0.319
O 0.258 0.286 0.319
O 0.258 0.681 0.967
O 0.258 0.033 0.714

=====

Record order is preserved below.
V: 52, 267, 179, 129 Å³ per cell